HoSiNiGe, optimized geometry, DFT GGA-PBE; spin magnetization = 0.00 μB per formula unit; energy = -23.35 eV per formula unit; ΔE to the lowest computed polymorph = 0 meV per atom; volume = 16.95 Å³ per atom
1.0
-6.127 5.510 -2.565
3.795 -7.747 0.208
-2.253 -1.018 3.194
Ge Ho Ni Si
2 2 2 2
Direct
0.043 0.957 0.250
0.957 0.043 0.750
0.390 0.610 0.250
0.610 0.390 0.750
0.182 0.818 0.250
0.818 0.182 0.750
0.751 0.249 0.250
0.249 0.751 0.750